(1)
A relaxed Ce2MnCu crystal, computed with GGA-PBE.

Summary:
Energy of formation from the pure elements = 110 meV per atom
SG = P4/mmm
Total magnetization = 0.0 μB/cell
Energy above the lowest structure with this stoichiometry = 0.000 eV per atom

POSCAR file:
```
Ce2MnCu
1.0
-1.525 0.212 2.905
-2.538 -1.704 -1.209
3.221 -6.324 2.152
Mn Ce Cu
1 2 1
direct
0.500 0.500 0.500
0.000 0.000 0.271
0.000 0.000 0.729
0.500 0.500 0.000
```

***

(2)
A relaxed Ca5Cu2Pb crystal, computed with GGA-PBE.

Summary:
Energy of formation from the pure elements = -277 meV per atom
SG = I4/mcm
Total magnetization = 0.0 μB/cell

POSCAR file:
```
Ca5Cu2Pb
1.0
2.324 -1.535 -7.388
-2.237 -7.523 0.859
-6.889 6.277 0.747
Ca Pb Cu
10 2 4
direct
0.500 0.500 0.000
0.465 0.312 0.277
0.812 0.965 0.277
0.188 0.035 0.723
0.000 0.000 0.000
0.035 0.535 0.723
0.535 0.688 0.723
0.312 0.812 0.277
0.965 0.465 0.277
0.688 0.188 0.723
0.250 0.250 0.500
0.750 0.750 0.500
0.611 0.111 0.000
0.889 0.611 0.000
0.389 0.889 0.000
0.111 0.389 0.000
```

***

(3)
A relaxed NiAu3Cl crystal, computed with GGA-PBE.

Summary:
Formation energy (no corrections) = 720.4 meV per atom
SG = Pm-3m
Total magnetization = 0.3 μB/cell
Energy above the lowest structure with this stoichiometry = 0.000 eV per atom

POSCAR file:
```
NiAu3Cl
1.0
-4.046 -0.254 2.596
-2.385 -1.577 -3.872
1.055 -4.541 1.200
Cl Ni Au
1 1 3
direct
0.500 0.500 0.500
0.000 0.000 0.000
0.500 0.000 0.000
0.000 0.000 0.500
0.000 0.500 0.000
```

***

Values of density of states at the Fermi level, in order: 1.69, 0.68, 0.78, all in states/eV per atom.